10
Lattice="4.646 0.000 0.000 0.000 3.659 0.000 0.000 -1.829 13.946" Properties=species:S:1:pos:R:3 comment="LaPmZn3 PBE-GGA optimized geometry" n_ef_per_ev_atom=0.899 magmom_total_mub_per_cell=0.001 sg="Cmcm (63)" total_energy_ev_per_atom=-3.0185 formation_energy_ev_per_atom=-0.318 pbc="T T T"
Zn 1.161 0.000 10.618
Zn 1.161 1.829 4.809
Zn 1.161 0.000 13.291
Zn 3.484 1.829 3.328
Zn 3.484 0.000 9.137
Zn 3.484 1.829 0.655
Pm 1.161 1.829 8.135
Pm 3.484 0.000 5.812
La 1.161 0.000 2.026
La 3.484 1.829 11.921

=====

6
Lattice="3.691 0.000 0.000 0.000 3.691 0.000 0.000 0.000 11.109" Properties=species:S:1:pos:R:3 comment="LaPm2Zn3 PBE-GGA optimized geometry" e_above_lowest_polymorph_mev_per_atom=2 n_ef_per_ev_atom=1.354 magmom_total_mub_per_cell=0.001 sg="P4/mmm (123)" total_energy_ev_per_atom=-3.3507 formation_energy_ev_per_atom=-0.309 pbc="T T T"
Zn 0.000 0.000 7.514
Zn 0.000 0.000 3.595
Zn 0.000 0.000 0.000
Pm 1.846 1.846 1.812
Pm 1.846 1.846 9.297
La 1.846 1.846 5.555

=====

8
Lattice="-5.198 -4.197 1.823 0.547 -6.840 -1.021 1.334 -4.385 6.762" Properties=species:S:1:pos:R:3 comment="La6PmZn PBE-GGA optimized geometry" e_above_lowest_polymorph_mev_per_atom=302 n_ef_per_ev_atom=1.684 magmom_total_mub_per_cell=0.000 sg="P-1 (2)" total_energy_ev_per_atom=-4.1613 formation_energy_ev_per_atom=0.287 pbc="T T T"
La -4.347 -8.946 2.833
La 1.029 -6.476 4.731
La -2.948 -6.796 6.453
La -0.858 -10.389 5.123
La -2.459 -5.033 2.441
La -0.369 -8.626 1.111
Zn 0.000 0.000 0.000
Pm -1.659 -7.711 3.782

=====

12
Lattice="5.206 0.002 -1.085 -0.003 7.688 -0.001 -0.941 0.000 8.532" Properties=species:S:1:pos:R:3 comment="La6PmZn5 PBE-GGA optimized geometry" n_ef_per_ev_atom=1.156 magmom_total_mub_per_cell=0.001 sg="P2/m (10)" total_energy_ev_per_atom=-3.6012 formation_energy_ev_per_atom=-0.211 pbc="T T T"
La 2.600 5.527 -0.543
La 0.579 1.961 2.819
La 3.682 5.730 4.627
La 3.684 1.963 4.628
La 0.577 5.728 2.818
La 1.661 2.164 7.989
Pm 0.000 0.000 0.000
Zn 3.093 0.002 1.859
Zn 3.147 3.846 2.141
Zn 1.168 7.689 5.587
Zn 1.114 3.845 5.305
Zn -0.002 3.844 0.000